Computed, not measured: a relaxed structure of CaFeO2 at the PBE with a Hubbard U level of DFT.

Output
* E_tot: -5.745 eV/atom

abc: 3.2034 3.2034 19.0149
angles: 90.00 90.00 120.00
Closest atoms and distances in Å follow each position.
Space group R-3m (No. 166, hexagonal axes)
Unique sites:
Ca 0.0000 0.0000 0.0000 x3  2 O 2.17
Fe 0.0000 0.0000 0.5000 x3  6 O 2.10
O 0.0000 0.0000 0.1142 x6  3 Fe 2.10, 1 Ca 2.17

Computed, not measured: a relaxed structure of CaFe5O6 at the PBE with a Hubbard U level of DFT.

Output
* E_tot: -6.622 eV/atom

abc: 5.4116 5.4360 5.5095
angles: 60.67 80.89 71.47
Closest atoms and distances in Å follow each position.
Space group P-1 (No. 2)
Unique sites:
Ca 0.0000 0.0000 0.0000 x1  6 O 2.32-2.35
Fe 0.0005 0.3309 0.3385 x2  6 O 2.10-2.34
Fe 0.5000 0.1701 0.6611 x2  6 O 2.13-2.31
Fe 0.5000 0.5000 0.0000 x1  6 O 2.09-2.26
O 0.2491 0.5556 0.3444 x2  5 Fe 2.10-2.30, 1 Ca 2.35
O 0.2501 0.9004 0.6529 x2  5 Fe 2.10-2.31, 1 Ca 2.35
O 0.2773 0.2498 0.9974 x2  5 Fe 2.09-2.34, 1 Ca 2.32

Computed, not measured: a relaxed structure of CaFe2O4 at the PBE with a Hubbard U level of DFT.

Output
* energy above the most stable polymorph in this dataset: 26 meV per atom

abc: 3.0624 10.0166 10.1285
angles: 90.00 90.00 90.00
Closest atoms and distances in Å follow each position.
Space group Cmcm (No. 63)
Unique sites:
Ca 0.0000 0.1100 0.2500 x4  6 O 2.29-2.43
Fe 0.0000 0.3648 0.0709 x8  6 O 1.97-2.17
O 0.0000 0.0000 0.0000 x4  4 Fe 2.17
O 0.0000 0.2684 0.6079 x8  3 Fe 2.05-2.07
O 0.0000 0.4403 0.2500 x4  2 Fe 1.97